# 1
Here is crystalline BiRhSe2 at its relaxed geometry from the Alexandria database. Energies are from GGA-PBE.

## Properties
Total magnetic moment (μB/f.u.): 0.00
ΔE_f (raw) (eV per atom): -0.221
Volume (A^3/atom): 24.58
DOS(E_F) (states/eV/cell): 3.5

Unit cell a=6.2673 b=6.2673 c=6.4137 alpha=106.19 beta=106.19 gamma=114.43
With the nearest neighbours (Å) after each atom.
Positions (direct):
Bi 0.1797 0.8203 0.5000  2 Rh 2.86-2.95, 3 Se 2.95-3.10
Bi 0.8203 0.1797 0.0000  2 Rh 2.86-2.95, 3 Se 2.95-3.10
Rh 0.3736 0.6487 0.8356  4 Se 2.46-2.47
Rh 0.6487 0.3736 0.3356  4 Se 2.46-2.47
Se 0.2878 0.3501 0.4350  2 Rh 2.47
Se 0.3501 0.2878 0.9350  2 Rh 2.47
Se 0.5681 0.9373 0.2753  2 Rh 2.46-2.47
Se 0.9373 0.5681 0.7753  2 Rh 2.46-2.47

---

# 2
Here is crystalline Cu2OsSe at its relaxed geometry from the Alexandria database. Energies are from GGA-PBE.

## Properties
Total magnetic moment (μB/f.u.): 1.01
ΔE_f (raw) (eV per atom): 0.709
Volume (A^3/atom): 15.10
DOS(E_F) (states/eV/cell): 9.5

Unit cell a=5.5496 b=5.5496 c=5.5496 alpha=100.99 beta=100.99 gamma=128.23
With the nearest neighbours (Å) after each atom.
Positions (direct):
Cu 0.1120 0.1250 0.4870  2 Cu 2.43, 2 Se 2.51, 2 Os 2.63
Cu 0.3750 0.8880 0.0130  2 Cu 2.43, 2 Se 2.51, 2 Os 2.63
Cu 0.6380 0.6250 0.5130  2 Cu 2.43, 2 Se 2.51, 2 Os 2.63
Cu 0.8750 0.3620 0.9870  2 Cu 2.43, 2 Se 2.51, 2 Os 2.63
Os 0.2500 0.7500 0.5000  2 Se 2.42, 4 Cu 2.63
Os 0.5000 0.5000 0.0000  2 Se 2.42, 4 Cu 2.63
Se 0.0000 0.0000 0.0000  2 Os 2.42, 4 Cu 2.51
Se 0.7500 0.2500 0.5000  2 Os 2.42, 4 Cu 2.51

---

# 3
Here is crystalline NaPr2Pd at its relaxed geometry from the Alexandria database. Energies are from GGA-PBE.

## Properties
ΔE_f (eV per atom): -0.222
Total magnetic moment (μB/f.u.): 0.00
Volume (A^3/atom): 36.19
DOS(E_F) (states/eV/cell): 3.4

Unit cell a=9.4703 b=9.4703 c=9.4703 alpha=26.10 beta=26.10 gamma=26.10
With the nearest neighbours (Å) after each atom.
Positions (direct):
Na 0.0000 0.0000 0.0000  6 Pr 3.90-3.93, 6 Na 4.28
Pr 0.5553 0.5553 0.5553  3 Pd 2.91
Pr 0.7766 0.7766 0.7766  3 Pd 2.90
Pd 0.1657 0.1657 0.1657  6 Pr 2.90-2.91

---

# 4
Here is crystalline TbPm2Er5Sc at its relaxed geometry from the Alexandria database. Energies are from GGA-PBE.

## Properties
ΔE_f (eV per atom): 0.278
Total magnetic moment (μB/f.u.): 0.00
Volume (A^3/atom): 31.09
DOS(E_F) (states/eV/cell): 23.3

Unit cell a=9.7968 b=9.7968 c=9.7968 alpha=128.53 beta=128.53 gamma=75.77
With the nearest neighbours (Å) after each atom.
Positions (direct):
Tb 0.2500 0.2500 0.0000  10 Er 3.48-3.87
Tb 0.7500 0.7500 0.0000  10 Er 3.48-3.87
Pm 0.1190 0.6190 0.7381  1 Pm 2.86, 2 Er 3.02
Pm 0.3810 0.1190 0.5000  1 Pm 2.86, 2 Er 3.02
Pm 0.6190 0.8810 0.5000  1 Pm 2.86, 2 Er 3.02
Pm 0.8810 0.3810 0.2619  1 Pm 2.86, 2 Er 3.02
Er 0.0000 0.0000 0.0000  4 Pm 3.40, 8 Er 3.76
Er 0.0666 0.1497 0.5000  1 Sc 3.01, 1 Pm 3.02
Er 0.1497 0.6497 0.0831  1 Sc 3.01, 1 Pm 3.02
Er 0.3503 0.4334 0.5000  1 Sc 3.01, 1 Pm 3.02
Er 0.4334 0.9334 0.0831  1 Sc 3.01, 1 Pm 3.02
Er 0.5000 0.5000 0.0000  4 Pm 3.40, 8 Er 3.76
Er 0.5666 0.0666 0.9169  1 Sc 3.01, 1 Pm 3.02
Er 0.6497 0.5666 0.5000  1 Sc 3.01, 1 Pm 3.02
Er 0.8503 0.3503 0.9169  1 Sc 3.01, 1 Pm 3.02
Er 0.9334 0.8503 0.5000  1 Sc 3.01, 1 Pm 3.02
Sc 0.2500 0.7500 0.5000  4 Er 3.01
Sc 0.7500 0.2500 0.5000  4 Er 3.01

---

# 5
Here is crystalline AlGaIrO2 at its relaxed geometry from the Alexandria database. Energies are from GGA-PBE.

## Properties
Total magnetic moment (μB/f.u.): 0.26
ΔE_f (raw) (eV per atom): -0.043
Volume (A^3/atom): 19.54
DOS(E_F) (states/eV/cell): 4.2

Unit cell a=3.5717 b=3.5717 c=7.6599 alpha=90.00 beta=90.00 gamma=90.00
With the nearest neighbours (Å) after each atom.
Positions (direct):
Al 0.0000 0.0000 0.0000  4 Ir 2.53
Ga 0.0000 0.0000 0.5000  4 O 1.79
Ir 0.5000 0.5000 0.0000  4 Al 2.53
O 0.0000 0.5000 0.5000  2 Ga 1.79
O 0.5000 0.0000 0.5000  2 Ga 1.79

---

# 6
Here is crystalline CaHoTl at its relaxed geometry from the Alexandria database. Energies are from GGA-PBE.

## Properties
ΔE_f (eV per atom): 0.218
Total magnetic moment (μB/f.u.): 0.22
Volume (A^3/atom): 35.10
DOS(E_F) (states/eV/cell): 2.5

Unit cell a=9.0374 b=9.0374 c=9.0374 alpha=157.80 beta=157.80 gamma=31.60
With the nearest neighbours (Å) after each atom.
Positions (direct):
Ca 0.0000 0.0000 0.0000  1 Tl 3.09
Ho 0.8007 0.8007 0.0000  4 Tl 3.26, 1 Ca 3.47, 4 Ho 3.48
Tl 0.1776 0.1776 0.0000  1 Ca 3.09, 4 Ho 3.26